No. 1
# FeReW2 GGA-PBE optimized geometry
# Total magnetization in μB/cell: 1.003
# Energy of formation from the pure elements in eV/atom: 0.240
# DOS at the Fermi energy in states/eV/f.u.: 4.11
# Relative energy among the computed polymorphs in meV per atom: 132
# Total energy in eV/atom: -11.464
data_FeReW2
_chemical_formula_sum 'Fe1 Re1 W2'
_symmetry_space_group_name_H-M 'P 1'
_symmetry_Int_Tables_number 1
_cell_length_a 4.818
_cell_length_b 4.818
_cell_length_c 4.818
_cell_angle_alpha 132.88
_cell_angle_beta 132.88
_cell_angle_gamma 68.85
loop_
_symmetry_equiv_pos_as_xyz
'x,y,z'
loop_
_atom_site_label
_atom_site_type_symbol
_atom_site_fract_x
_atom_site_fract_y
_atom_site_fract_z
_atom_site_occupancy
Fe1 Fe 0.000 0.000 0.000 1
Re1 Re 0.250 0.750 0.500 1
W1 W 0.500 0.500 0.000 1
W2 W 0.750 0.250 0.500 1



No. 2
# Fe3ReW GGA-PBE optimized geometry
# Total magnetization in μB/cell: 4.525
# Energy of formation from the pure elements in eV/atom: 1.854
# DOS at the Fermi energy in states/eV/f.u.: 5.43
# Relative energy among the computed polymorphs in meV per atom: 0
# Total energy in eV/atom: -8.303
data_Fe3ReW
_chemical_formula_sum 'Fe3 Re1 W1'
_symmetry_space_group_name_H-M 'P 1'
_symmetry_Int_Tables_number 1
_cell_length_a 4.361
_cell_length_b 4.361
_cell_length_c 4.361
_cell_angle_alpha 90.00
_cell_angle_beta 90.00
_cell_angle_gamma 90.00
loop_
_symmetry_equiv_pos_as_xyz
'x,y,z'
loop_
_atom_site_label
_atom_site_type_symbol
_atom_site_fract_x
_atom_site_fract_y
_atom_site_fract_z
_atom_site_occupancy
Fe1 Fe 0.000 0.000 0.500 1
Fe2 Fe 0.000 0.500 0.000 1
Fe3 Fe 0.500 0.000 0.000 1
Re1 Re 0.000 0.000 0.000 1
W1 W 0.500 0.500 0.500 1



No. 3
# FeReW GGA-PBE optimized geometry
# Total magnetization in μB/cell: 0.000
# Energy of formation from the pure elements in eV/atom: 0.042
# DOS at the Fermi energy in states/eV/f.u.: 2.92
# Relative energy among the computed polymorphs in meV per atom: 0
# Total energy in eV/atom: -11.246
data_FeReW
_chemical_formula_sum 'Fe4 Re4 W4'
_symmetry_space_group_name_H-M 'P 1'
_symmetry_Int_Tables_number 1
_cell_length_a 9.440
_cell_length_b 8.813
_cell_length_c 4.773
_cell_angle_alpha 82.26
_cell_angle_beta 67.68
_cell_angle_gamma 30.07
loop_
_symmetry_equiv_pos_as_xyz
'x,y,z'
loop_
_atom_site_label
_atom_site_type_symbol
_atom_site_fract_x
_atom_site_fract_y
_atom_site_fract_z
_atom_site_occupancy
Fe1 Fe 0.001 0.001 0.249 1
Fe2 Fe 0.249 0.249 0.001 1
Fe3 Fe 0.751 0.751 0.999 1
Fe4 Fe 0.999 0.999 0.751 1
Re1 Re 0.046 0.704 0.046 1
Re2 Re 0.296 0.954 0.296 1
Re3 Re 0.704 0.046 0.704 1
Re4 Re 0.954 0.296 0.954 1
W1 W 0.296 0.296 0.454 1
W2 W 0.454 0.454 0.296 1
W3 W 0.546 0.546 0.704 1
W4 W 0.704 0.704 0.546 1



No. 4
# FeRe2W GGA-PBE optimized geometry
# Total magnetization in μB/cell: 2.792
# Energy of formation from the pure elements in eV/atom: 0.161
# DOS at the Fermi energy in states/eV/f.u.: 3.36
# Total energy in eV/atom: -11.417
data_FeRe2W
_chemical_formula_sum 'Fe1 Re2 W1'
_symmetry_space_group_name_H-M 'P 1'
_symmetry_Int_Tables_number 1
_cell_length_a 4.359
_cell_length_b 4.359
_cell_length_c 4.359
_cell_angle_alpha 60.00
_cell_angle_beta 60.00
_cell_angle_gamma 60.00
loop_
_symmetry_equiv_pos_as_xyz
'x,y,z'
loop_
_atom_site_label
_atom_site_type_symbol
_atom_site_fract_x
_atom_site_fract_y
_atom_site_fract_z
_atom_site_occupancy
Fe1 Fe 0.000 0.000 0.000 1
Re1 Re 0.500 0.500 0.500 1
Re2 Re 0.750 0.750 0.750 1
W1 W 0.250 0.250 0.250 1



No. 5
# FeReW GGA-PBE optimized geometry
# Total magnetization in μB/cell: 0.430
# Energy of formation from the pure elements in eV/atom: 0.652
# DOS at the Fermi energy in states/eV/f.u.: 3.34
# Relative energy among the computed polymorphs in meV per atom: 610
# Total energy in eV/atom: -10.636
data_FeReW
_chemical_formula_sum 'Fe1 Re1 W1'
_symmetry_space_group_name_H-M 'P 1'
_symmetry_Int_Tables_number 1
_cell_length_a 4.051
_cell_length_b 4.051
_cell_length_c 4.051
_cell_angle_alpha 60.00
_cell_angle_beta 60.00
_cell_angle_gamma 60.00
loop_
_symmetry_equiv_pos_as_xyz
'x,y,z'
loop_
_atom_site_label
_atom_site_type_symbol
_atom_site_fract_x
_atom_site_fract_y
_atom_site_fract_z
_atom_site_occupancy
Fe1 Fe 0.000 0.000 0.000 1
Re1 Re 0.750 0.750 0.750 1
W1 W 0.250 0.250 0.250 1



No. 6
# FeRe2W GGA-PBE optimized geometry
# Total magnetization in μB/cell: 2.386
# Energy of formation from the pure elements in eV/atom: 0.161
# DOS at the Fermi energy in states/eV/f.u.: 3.43
# Total energy in eV/atom: -11.417
data_FeRe2W
_chemical_formula_sum 'Fe1 Re2 W1'
_symmetry_space_group_name_H-M 'P 1'
_symmetry_Int_Tables_number 1
_cell_length_a 3.161
_cell_length_b 4.295
_cell_length_c 4.299
_cell_angle_alpha 90.00
_cell_angle_beta 90.00
_cell_angle_gamma 90.00
loop_
_symmetry_equiv_pos_as_xyz
'x,y,z'
loop_
_atom_site_label
_atom_site_type_symbol
_atom_site_fract_x
_atom_site_fract_y
_atom_site_fract_z
_atom_site_occupancy
Fe1 Fe 0.000 0.000 0.000 1
Re1 Re 0.000 0.500 0.500 1
Re2 Re 0.500 0.500 0.000 1
W1 W 0.500 0.000 0.500 1



No. 7
# FeRe2W GGA-PBE optimized geometry
# Total magnetization in μB/cell: 1.358
# Energy of formation from the pure elements in eV/atom: 0.227
# DOS at the Fermi energy in states/eV/f.u.: 3.86
# Total energy in eV/atom: -11.351
data_FeRe2W
_chemical_formula_sum 'Fe1 Re2 W1'
_symmetry_space_group_name_H-M 'P 1'
_symmetry_Int_Tables_number 1
_cell_length_a 9.145
_cell_length_b 9.145
_cell_length_c 9.145
_cell_angle_alpha 17.18
_cell_angle_beta 17.18
_cell_angle_gamma 17.18
loop_
_symmetry_equiv_pos_as_xyz
'x,y,z'
loop_
_atom_site_label
_atom_site_type_symbol
_atom_site_fract_x
_atom_site_fract_y
_atom_site_fract_z
_atom_site_occupancy
Fe1 Fe 0.000 0.000 0.000 1
Re1 Re 0.256 0.256 0.256 1
Re2 Re 0.744 0.744 0.744 1
W1 W 0.500 0.500 0.500 1



No. 8
# FeRe2W GGA-PBE optimized geometry
# Total magnetization in μB/cell: 2.524
# Energy of formation from the pure elements in eV/atom: 0.141
# DOS at the Fermi energy in states/eV/f.u.: 2.99
# Total energy in eV/atom: -11.437
data_FeRe2W
_chemical_formula_sum 'Fe1 Re2 W1'
_symmetry_space_group_name_H-M 'P 1'
_symmetry_Int_Tables_number 1
_cell_length_a 2.673
_cell_length_b 4.333
_cell_length_c 5.166
_cell_angle_alpha 90.00
_cell_angle_beta 101.25
_cell_angle_gamma 90.00
loop_
_symmetry_equiv_pos_as_xyz
'x,y,z'
loop_
_atom_site_label
_atom_site_type_symbol
_atom_site_fract_x
_atom_site_fract_y
_atom_site_fract_z
_atom_site_occupancy
Fe1 Fe 0.000 0.000 0.000 1
Re1 Re 0.477 0.000 0.495 1
Re2 Re 0.760 0.500 0.250 1
W1 W 0.240 0.500 0.762 1



No. 9
# FeReW2 GGA-PBE optimized geometry
# Total magnetization in μB/cell: 2.454
# Energy of formation from the pure elements in eV/atom: 0.131
# DOS at the Fermi energy in states/eV/f.u.: 3.37
# Relative energy among the computed polymorphs in meV per atom: 22
# Total energy in eV/atom: -11.574
data_FeReW2
_chemical_formula_sum 'Fe1 Re1 W2'
_symmetry_space_group_name_H-M 'P 1'
_symmetry_Int_Tables_number 1
_cell_length_a 5.119
_cell_length_b 5.119
_cell_length_c 5.119
_cell_angle_alpha 144.32
_cell_angle_beta 129.37
_cell_angle_gamma 63.47
loop_
_symmetry_equiv_pos_as_xyz
'x,y,z'
loop_
_atom_site_label
_atom_site_type_symbol
_atom_site_fract_x
_atom_site_fract_y
_atom_site_fract_z
_atom_site_occupancy
Fe1 Fe 0.000 0.000 0.000 1
Re1 Re 0.253 0.753 0.500 1
W1 W 0.501 0.501 0.000 1
W2 W 0.751 0.251 0.500 1



No. 10
# FeReW2 GGA-PBE optimized geometry
# Total magnetization in μB/cell: 2.431
# Energy of formation from the pure elements in eV/atom: 0.125
# DOS at the Fermi energy in states/eV/f.u.: 3.24
# Relative energy among the computed polymorphs in meV per atom: 17
# Total energy in eV/atom: -11.579
data_FeReW2
_chemical_formula_sum 'Fe1 Re1 W2'
_symmetry_space_group_name_H-M 'P 1'
_symmetry_Int_Tables_number 1
_cell_length_a 5.093
_cell_length_b 5.093
_cell_length_c 5.093
_cell_angle_alpha 143.93
_cell_angle_beta 129.23
_cell_angle_gamma 63.84
loop_
_symmetry_equiv_pos_as_xyz
'x,y,z'
loop_
_atom_site_label
_atom_site_type_symbol
_atom_site_fract_x
_atom_site_fract_y
_atom_site_fract_z
_atom_site_occupancy
Fe1 Fe 0.000 0.000 0.000 1
Re1 Re 0.500 0.500 0.000 1
W1 W 0.251 0.751 0.500 1
W2 W 0.749 0.249 0.500 1



- Which of these has the lowest total energy?
  number 10